Record 1
First-principles (PBE) data for a relaxed structure of LiPmAlCr, as listed in the Alexandria database.

Cell: 4.8370 4.8370 4.8370 Å, 60.00 60.00 60.00°
Fractional positions:
Li  0.0000  0.0000  0.0000
Pm  0.7500  0.7500  0.7500
Al  0.2500  0.2500  0.2500
Cr  0.5000  0.5000  0.5000

Results
* total magnetization: 1.19 μB per atom
* E_tot: -19.9 eV/cell
* SG: F-43m, No. 216
* formation enthalpy at 0 K: 0.030 eV per atom

***

Record 2
First-principles (PBE) data for a relaxed structure of InAgB2Mo, as listed in the Alexandria database.

Cell: 4.3826 4.3826 5.1879 Å, 90.00 90.00 90.00°
Fractional positions:
In  0.0000  0.0000  0.0000
Ag  0.0000  0.0000  0.5000
B  0.0000  0.5000  0.0000
B  0.5000  0.0000  0.0000
Mo  0.5000  0.5000  0.5000

Results
* total magnetization: 0.75 μB per atom
* E_tot: -18.6 eV/cell
* SG: P4/mmm, No. 123
* formation enthalpy at 0 K: 2.235 eV per atom

***

Record 3
First-principles (PBE) data for a relaxed structure of Tm2AlPd2, as listed in the Alexandria database.

Cell: 7.4130 7.4130 7.5151 Å, 90.00 90.00 90.00°
Fractional positions:
Tm  0.1734  0.3271  0.0000
Tm  0.1729  0.3266  0.5000
Tm  0.3271  0.8266  0.0000
Tm  0.3266  0.8271  0.5000
Tm  0.6729  0.1734  0.0000
Tm  0.6734  0.1729  0.5000
Tm  0.8266  0.6729  0.0000
Tm  0.8271  0.6734  0.5000
Al  0.0000  0.0000  0.2487
Al  0.0000  0.0000  0.7513
Al  0.5000  0.5000  0.2513
Al  0.5000  0.5000  0.7487
Pd  0.1339  0.6339  0.2500
Pd  0.1339  0.6339  0.7500
Pd  0.3661  0.1339  0.2500
Pd  0.3661  0.1339  0.7500
Pd  0.6339  0.8661  0.2500
Pd  0.6339  0.8661  0.7500
Pd  0.8661  0.3661  0.2500
Pd  0.8661  0.3661  0.7500

Results
* total magnetization: 0.00 μB per atom
* E_tot: -109.2 eV/cell
* SG: P4/mnc, No. 128
* formation enthalpy at 0 K: -0.846 eV per atom

***

Record 4
First-principles (PBE) data for a relaxed structure of Ti2FePt, as listed in the Alexandria database.

Cell: 2.8668 2.8668 6.9713 Å, 90.00 90.00 90.00°
Fractional positions:
Ti  0.0000  0.0000  0.2204
Ti  0.0000  0.0000  0.7796
Fe  0.5000  0.5000  0.0000
Pt  0.5000  0.5000  0.5000

Results
* total magnetization: 0.00 μB per atom
* E_tot: -32.7 eV/cell
* SG: P4/mmm, No. 123
* formation enthalpy at 0 K: -0.608 eV per atom